A plane-wave DFT calculation with PBE was carried out for a relaxed AcPaAs2 crystal.

Cell and atoms, written as extended XYZ:
```
4
Lattice="2.137 1.234 7.115 -2.137 1.234 7.115 0.000 -2.467 7.115" Properties=species:S:1:pos:R:3 pbc="T T T"
Ac 0.000 0.000 0.000
Pa 0.000 0.000 10.672
As 0.000 0.000 5.107
As 0.000 0.000 16.236
```

Computed properties:
* ΔH_f (0 K): -1221.9 meV/atom
* calculated density: 8.97 Mg/m³
* energy relative to the lowest polymorph listed for this composition: 0.0 meV per atom

=====

A plane-wave DFT calculation with PBE was carried out for a relaxed CuIr2Se crystal.

Cell and atoms, written as extended XYZ:
```
4
Lattice="1.454 0.839 8.094 -1.454 0.839 8.094 0.000 -1.679 8.094" Properties=species:S:1:pos:R:3 pbc="T T T"
Cu 0.000 0.000 0.000
Ir 0.000 0.000 6.057
Ir 0.000 0.000 18.226
Se 0.000 0.000 12.142
```

Computed properties:
* ΔE_f (raw): 0.36 eV/atom
* calculated density: 14.77 Mg/m³

=====

Q: Which formula does entry 2 have?
A: CuIr2Se